Crystalline Rb2Tl6Hg2Bi at its relaxed geometry, computed with PBE.

Magnetic moment = 0.0 Bohr magnetons per cell
ΔH_f (0 K) = -0.034 eV/atom
Space group = No. 166
Energy = -0.14023 Ry per atom

a b c (Å): 8.1856 8.1856 8.9477
angles (deg): 62.78 62.78 60.00
Last column: nearest neighbours and their distance in Å.
Positions (direct):
Tl: 0.2582 0.2582 0.6286  1 Hg 2.96, 2 Tl 3.30
Tl: 0.2582 0.8550 0.6286  1 Hg 2.96, 2 Tl 3.30
Tl: 0.1450 0.7418 0.3714  1 Hg 2.96, 2 Tl 3.30
Tl: 0.8550 0.2582 0.6286  1 Hg 2.96, 2 Tl 3.30
Tl: 0.7418 0.7418 0.3714  1 Hg 2.96, 2 Tl 3.30
Tl: 0.7418 0.1450 0.3714  1 Hg 2.96, 2 Tl 3.30
Bi: 0.0000 0.0000 0.0000  6 Tl 3.40
Rb: 0.2707 0.2707 0.1880  1 Hg 3.35
Rb: 0.7293 0.7293 0.8120  1 Hg 3.35
Hg: 0.4178 0.4178 0.7467  3 Tl 2.96
Hg: 0.5822 0.5822 0.2533  3 Tl 2.96


Crystalline Rb2TlHgBi at its relaxed geometry, computed with PBE.

Magnetic moment = 0.0 Bohr magnetons per cell
ΔH_f (0 K) = -0.283 eV/atom
Space group = No. 11
Energy = -0.14550 Ry per atom

a b c (Å): 5.4716 8.8161 8.9279
angles (deg): 107.01 90.00 90.00
Last column: nearest neighbours and their distance in Å.
Positions (direct):
Rb: 0.2500 0.3197 0.9449  3 Hg 3.66-3.68, 1 Tl 3.74, 3 Bi 3.80-3.85, 2 Rb 4.09
Rb: 0.2500 0.1304 0.3783  3 Hg 3.82-3.91, 3 Bi 3.84-4.17, 3 Tl 3.91-4.00
Rb: 0.7500 0.6803 0.0551  3 Hg 3.66-3.68, 1 Tl 3.74, 3 Bi 3.80-3.85, 2 Rb 4.09
Rb: 0.7500 0.8696 0.6217  3 Hg 3.82-3.91, 3 Bi 3.84-4.17, 3 Tl 3.91-4.00
Bi: 0.2500 0.6470 0.3398  3 Tl 3.23-3.33
Bi: 0.7500 0.3530 0.6602  3 Tl 3.23-3.33
Hg: 0.7500 0.0958 0.0576  1 Tl 3.21, 2 Hg 3.22
Hg: 0.2500 0.9042 0.9424  1 Tl 3.21, 2 Hg 3.22
Tl: 0.7500 0.4286 0.3276  1 Hg 3.21, 3 Bi 3.23-3.33
Tl: 0.2500 0.5714 0.6724  1 Hg 3.21, 3 Bi 3.23-3.33


Crystalline RbTl2HgBi at its relaxed geometry, computed with PBE.

Magnetic moment = 0.0 Bohr magnetons per cell
ΔH_f (0 K) = -0.141 eV/atom
Space group = No. 44
Energy = -0.15566 Ry per atom

a b c (Å): 5.4030 5.0118 7.6731
angles (deg): 109.06 110.61 90.00
Last column: nearest neighbours and their distance in Å.
Positions (direct):
Bi: 0.2016 0.7016 0.4032  2 Tl 3.19, 2 Hg 3.21
Hg: 0.8298 0.8298 0.6597  3 Tl 3.02-3.14, 2 Bi 3.21
Rb: 0.4371 0.4371 0.8742  4 Hg 3.96, 8 Tl 4.01-4.29, 2 Bi 4.04
Tl: 0.6891 0.1891 0.3781  2 Hg 3.14, 2 Tl 3.25
Tl: 0.0545 0.0545 0.1091  1 Hg 3.02, 2 Bi 3.19, 2 Tl 3.25


Crystalline Rb2Tl6HgBi at its relaxed geometry, computed with PBE.

Magnetic moment = 0.0 Bohr magnetons per cell
ΔH_f (0 K) = -0.008 eV/atom
Space group = No. 166
Energy = -0.14991 Ry per atom

a b c (Å): 8.0328 8.0328 15.1472
angles (deg): 74.62 74.62 60.00
Last column: nearest neighbours and their distance in Å.
Positions (direct):
Tl: 0.3388 0.3388 0.4040  1 Hg 3.02, 1 Bi 3.31, 2 Tl 3.38
Tl: 0.3763 0.7750 0.0736  1 Hg 2.98, 2 Tl 3.20
Tl: 0.2250 0.2250 0.9264  1 Hg 2.98, 2 Tl 3.20
Tl: 0.7750 0.3763 0.0736  1 Hg 2.98, 2 Tl 3.20
Tl: 0.2250 0.6237 0.9264  1 Hg 2.98, 2 Tl 3.20
Tl: 0.9183 0.3388 0.4040  1 Hg 3.02, 1 Bi 3.31, 2 Tl 3.38
Tl: 0.6237 0.2250 0.9264  1 Hg 2.98, 2 Tl 3.20
Tl: 0.6612 0.0817 0.5960  1 Hg 3.02, 1 Bi 3.31, 2 Tl 3.38
Tl: 0.3388 0.9183 0.4040  1 Hg 3.02, 1 Bi 3.31, 2 Tl 3.38
Tl: 0.0817 0.6612 0.5960  1 Hg 3.02, 1 Bi 3.31, 2 Tl 3.38
Tl: 0.7750 0.7750 0.0736  1 Hg 2.98, 2 Tl 3.20
Tl: 0.6612 0.6612 0.5960  1 Hg 3.02, 1 Bi 3.31, 2 Tl 3.38
Bi: 0.4232 0.4232 0.7305  6 Tl 3.31-3.38, 1 Hg 3.32
Bi: 0.5768 0.5768 0.2695  6 Tl 3.31-3.38, 1 Hg 3.32
Hg: 0.0000 0.0000 0.0000  6 Tl 2.98
Hg: 0.5000 0.5000 0.5000  6 Tl 3.02, 2 Bi 3.32
Rb: 0.2768 0.2768 0.1696  12 Tl 3.90-4.27
Rb: 0.7232 0.7232 0.8304  12 Tl 3.90-4.27
Rb: 0.1009 0.1009 0.6972  12 Tl 4.29-4.66, 1 Hg 4.37, 3 Bi 4.66
Rb: 0.8991 0.8991 0.3028  12 Tl 4.29-4.66, 1 Hg 4.37, 3 Bi 4.66


Crystalline RbTlHgBi at its relaxed geometry, computed with PBE.

Magnetic moment = 0.0 Bohr magnetons per cell
ΔH_f (0 K) = -0.144 eV/atom
Space group = No. 216
Energy = -0.14868 Ry per atom

a b c (Å): 5.7683 5.7683 5.7683
angles (deg): 60.00 60.00 60.00
Last column: nearest neighbours and their distance in Å.
Positions (direct):
Bi: 0.5000 0.5000 0.5000  4 Hg 3.53, 4 Tl 3.53
Rb: 0.0000 0.0000 0.0000  4 Tl 3.53, 4 Hg 3.53
Hg: 0.7500 0.7500 0.7500  4 Bi 3.53, 4 Rb 3.53
Tl: 0.2500 0.2500 0.2500  4 Bi 3.53, 4 Rb 3.53


Crystalline Rb2TlHgBi at its relaxed geometry, computed with PBE.

Magnetic moment = 0.0 Bohr magnetons per cell
ΔH_f (0 K) = -0.074 eV/atom
Space group = No. 123
Energy = -0.13018 Ry per atom

a b c (Å): 7.2230 7.2230 6.1301
angles (deg): 90.00 90.00 90.00
Last column: nearest neighbours and their distance in Å.
Positions (direct):
Hg: 0.5000 0.5000 0.5000  8 Rb 4.74, 4 Tl 5.11
Tl: 0.0000 0.0000 0.5000  2 Bi 3.07
Bi: 0.0000 0.0000 0.0000  2 Tl 3.07
Rb: 0.5000 0.0000 0.0000  2 Bi 3.61
Rb: 0.0000 0.5000 0.0000  2 Bi 3.61


Crystalline RbTl4HgBi2 at its relaxed geometry, computed with PBE.

Magnetic moment = 0.0 Bohr magnetons per cell
ΔH_f (0 K) = -0.115 eV/atom
Space group = No. 166
Energy = -0.17840 Ry per atom

a b c (Å): 5.6749 5.6749 10.1451
angles (deg): 73.76 73.76 60.00
Last column: nearest neighbours and their distance in Å.
Positions (direct):
Tl: 0.1320 0.1320 0.6040  4 Bi 3.40-3.56, 3 Hg 3.43, 1 Rb 3.80
Tl: 0.3857 0.3857 0.8430  1 Hg 3.29, 3 Bi 3.40, 3 Rb 3.61
Tl: 0.6143 0.6143 0.1570  1 Hg 3.29, 3 Bi 3.40, 3 Rb 3.61
Tl: 0.8680 0.8680 0.3960  4 Bi 3.40-3.56, 3 Hg 3.43, 1 Rb 3.80
Bi: 0.2499 0.2499 0.2502  7 Tl 3.40-3.56
Bi: 0.7501 0.7501 0.7498  7 Tl 3.40-3.56
Rb: 0.0000 0.0000 0.0000  8 Tl 3.61-3.80
Hg: 0.5000 0.5000 0.5000  8 Tl 3.29-3.43


Crystalline Rb2ZnHgBi at its relaxed geometry, computed with PBE.

Magnetic moment = 0.0 Bohr magnetons per cell
ΔH_f (0 K) = -0.092 eV/atom
Space group = No. 123
Energy = -0.11542 Ry per atom

a b c (Å): 6.8332 6.8332 5.3659
angles (deg): 90.00 90.00 90.00
Last column: nearest neighbours and their distance in Å.
Positions (direct):
Rb: 0.0000 0.5000 0.0000  2 Zn 3.42
Rb: 0.5000 0.0000 0.0000  2 Zn 3.42
Bi: 0.0000 0.0000 0.5000  2 Zn 2.68
Zn: 0.0000 0.0000 0.0000  2 Bi 2.68
Hg: 0.5000 0.5000 0.5000  8 Rb 4.34, 4 Bi 4.83


Crystalline Rb2ZrHgBi at its relaxed geometry, computed with PBE.

Magnetic moment = 2.3 Bohr magnetons per cell
ΔH_f (0 K) = 0.878 eV/atom
Space group = No. 123
Energy = -0.15106 Ry per atom

a b c (Å): 7.2020 5.7498 7.2020
angles (deg): 90.00 90.00 90.00
Last column: nearest neighbours and their distance in Å.
Positions (direct):
Rb: 0.5000 0.0000 0.0000  2 Bi 3.60
Rb: 0.0000 0.0000 0.5000  2 Bi 3.60
Bi: 0.0000 0.0000 0.0000  2 Hg 2.87
Zr: 0.5000 0.5000 0.5000  8 Rb 4.61, 4 Hg 5.09
Hg: 0.0000 0.5000 0.0000  2 Bi 2.87


Crystalline RbZrHgBi2 at its relaxed geometry, computed with PBE.

Magnetic moment = 0.0 Bohr magnetons per cell
ΔH_f (0 K) = -0.152 eV/atom
Space group = No. 123
Energy = -0.26955 Ry per atom

a b c (Å): 5.7177 5.7177 5.8804
angles (deg): 90.00 90.00 90.00
Last column: nearest neighbours and their distance in Å.
Positions (direct):
Bi: 0.0000 0.5000 0.0000  2 Zr 2.86
Bi: 0.5000 0.0000 0.0000  2 Zr 2.86
Hg: 0.0000 0.0000 0.5000  2 Zr 2.94
Zr: 0.0000 0.0000 0.0000  4 Bi 2.86, 2 Hg 2.94
Rb: 0.5000 0.5000 0.5000  4 Hg 4.04, 8 Bi 4.10


Crystalline ReHg3Bi at its relaxed geometry, computed with PBE.

Magnetic moment = 2.1 Bohr magnetons per cell
ΔH_f (0 K) = 1.005 eV/atom
Space group = No. 221
Energy = -0.17949 Ry per atom

a b c (Å): 5.2936 5.2936 5.2936
angles (deg): 90.00 90.00 90.00
Last column: nearest neighbours and their distance in Å.
Positions (direct):
Hg: 0.0000 0.0000 0.5000  2 Re 2.65
Hg: 0.5000 0.0000 0.0000  2 Re 2.65
Hg: 0.0000 0.5000 0.0000  2 Re 2.65
Re: 0.0000 0.0000 0.0000  6 Hg 2.65
Bi: 0.5000 0.5000 0.5000  12 Hg 3.74


Crystalline Re2HgBi at its relaxed geometry, computed with PBE.

Magnetic moment = 0.0 Bohr magnetons per cell
ΔH_f (0 K) = 1.274 eV/atom
Space group = No. 225
Energy = -0.44067 Ry per atom

a b c (Å): 4.7118 4.7118 4.7118
angles (deg): 60.00 60.00 60.00
Last column: nearest neighbours and their distance in Å.
Positions (direct):
Re: 0.7500 0.7500 0.7500  4 Hg 2.89, 4 Bi 2.89
Re: 0.2500 0.2500 0.2500  4 Hg 2.89, 4 Bi 2.89
Hg: 0.0000 0.0000 0.0000  8 Re 2.89
Bi: 0.5000 0.5000 0.5000  8 Re 2.89